Entry 1:
Computed, not measured: an optimized crystal structure of NdLuTlPd at the GGA-PBE level of DFT.

Properties
Crystal system: cubic
Formation energy from the elements (eV per formula unit): -2.025
DOS(E_F) (states/eV/cell): 3.7

Cell: 5.216 5.216 5.216 Å, 60.00 60.00 60.00°
Atoms (fractional coordinates):
Tl1 0.000 0.000 0.000
Pd1 0.500 0.500 0.500
Nd1 0.750 0.750 0.750
Lu1 0.250 0.250 0.250


Entry 2:
Computed, not measured: an optimized crystal structure of PmNdLu2 at the GGA-PBE level of DFT.

Properties
Crystal system: tetragonal
Energy above the most stable polymorph in this dataset (meV per atom): 3.2
Formation energy from the elements (eV per formula unit): 0.107
DOS(E_F) (states/eV/cell): 6.0

Cell: 3.601 3.601 9.851 Å, 90.00 90.00 90.00°
Atoms (fractional coordinates):
Pm1 0.500 0.500 0.000
Lu1 0.000 0.000 0.249
Lu2 0.000 0.000 0.751
Nd1 0.500 0.500 0.500


Entry 3:
Computed, not measured: an optimized crystal structure of Pm4NdLu at the GGA-PBE level of DFT.

Properties
Crystal system: cubic
Formation energy from the elements (eV per formula unit): 1.551
DOS(E_F) (states/eV/cell): 9.0

Cell: 6.668 6.668 6.668 Å, 60.00 60.00 60.00°
Atoms (fractional coordinates):
Pm1 0.123 0.626 0.626
Pm2 0.626 0.123 0.626
Pm3 0.626 0.626 0.123
Pm4 0.626 0.626 0.626
Nd1 0.250 0.250 0.250
Lu1 0.000 0.000 0.000


Entry 4:
Computed, not measured: an optimized crystal structure of PmNdLu2 at the GGA-PBE level of DFT.

Properties
Crystal system: trigonal
Energy above the most stable polymorph in this dataset (meV per atom): 0.0
Formation energy from the elements (eV per formula unit): 0.094
DOS(E_F) (states/eV/cell): 4.3

Cell: 3.570 3.570 11.671 Å, 81.20 81.20 60.00°
Atoms (fractional coordinates):
Pm1 0.000 0.000 0.000
Nd1 0.500 0.500 0.500
Lu1 0.250 0.250 0.249
Lu2 0.750 0.750 0.751


- Which value of formation energy from the elements does entry 1 give?
  -2.025 eV per formula unit


What did the second record say?
Computed, not measured: an optimized crystal structure of PmNdLu2 at the GGA-PBE level of DFT.

Properties
Crystal system: tetragonal
Energy above the most stable polymorph in this dataset (meV per atom): 3.2
Formation energy from the elements (eV per formula unit): 0.107
DOS(E_F) (states/eV/cell): 6.0

Cell: 3.601 3.601 9.851 Å, 90.00 90.00 90.00°
Atoms (fractional coordinates):
Pm1 0.500 0.500 0.000
Lu1 0.000 0.000 0.249
Lu2 0.000 0.000 0.751
Nd1 0.500 0.500 0.500


What did the fourth record say?
Computed, not measured: an optimized crystal structure of PmNdLu2 at the GGA-PBE level of DFT.

Properties
Crystal system: trigonal
Energy above the most stable polymorph in this dataset (meV per atom): 0.0
Formation energy from the elements (eV per formula unit): 0.094
DOS(E_F) (states/eV/cell): 4.3

Cell: 3.570 3.570 11.671 Å, 81.20 81.20 60.00°
Atoms (fractional coordinates):
Pm1 0.000 0.000 0.000
Nd1 0.500 0.500 0.500
Lu1 0.250 0.250 0.249
Lu2 0.750 0.750 0.751


- formation energy from the elements of number 1 (NdLuTlPd)?
  -2.025 eV per formula unit